(1)
Here is TaTl2Si at its PBEsol-relaxed geometry from Alexandria via LeMat-Bulk. Energies are from SCAN.

Structure (CIF):
```
data_TaTl2Si
_chemical_formula_sum 'Ta1 Tl2 Si1'
_cell_length_a 3.418
_cell_length_b 4.883
_cell_length_c 5.775
_cell_angle_alpha 115.01
_cell_angle_beta 107.21
_cell_angle_gamma 90.00
_space_group_name_H-M_alt 'P 1'
_space_group_IT_number 1
loop_
_space_group_symop_operation_xyz
'x,y,z'
loop_
_atom_site_label
_atom_site_type_symbol
_atom_site_fract_x
_atom_site_fract_y
_atom_site_fract_z
_atom_site_occupancy
Si1 Si 0.533 0.533 0.066 1
Ta1 Ta 0.219 0.719 0.438 1
Tl1 Tl 0.985 0.985 0.970 1
Tl2 Tl 0.762 0.262 0.525 1
```

magnetization: 0.00 μB per formula unit
offset from the most stable computed form: 0.00 kcal/mol of atoms
electronic total energy: -218.9 eV per cell
formation energy without anion corrections: 0.61 eV per atom
N(E_F): 0.5832 states/eV per atom

=====

(2)
Here is ErH3 at its PBEsol-relaxed geometry from Alexandria via LeMat-Bulk. Energies are from SCAN.

Structure (CIF):
```
data_ErH3
_chemical_formula_sum 'Er1 H3'
_cell_length_a 3.533
_cell_length_b 3.533
_cell_length_c 3.533
_cell_angle_alpha 60.00
_cell_angle_beta 60.00
_cell_angle_gamma 60.00
_space_group_name_H-M_alt 'P 1'
_space_group_IT_number 1
loop_
_space_group_symop_operation_xyz
'x,y,z'
loop_
_atom_site_label
_atom_site_type_symbol
_atom_site_fract_x
_atom_site_fract_y
_atom_site_fract_z
_atom_site_occupancy
H1 H 0.500 0.500 0.500 1
H2 H 0.750 0.750 0.750 1
H3 H 0.250 0.250 0.250 1
Er1 Er 0.000 0.000 0.000 1
```

magnetization: 0.00 μB per formula unit
offset from the most stable computed form: 1.97 kcal/mol of atoms
electronic total energy: -63.2 eV per cell
N(E_F): 0.0522 states/eV per atom

=====

(3)
Here is BeAgPO2 at its PBEsol-relaxed geometry from Alexandria via LeMat-Bulk. Energies are from SCAN.

Structure (CIF):
```
data_BeAgPO2
_chemical_formula_sum 'Be1 Ag1 P1 O2'
_cell_length_a 3.410
_cell_length_b 3.410
_cell_length_c 5.164
_cell_angle_alpha 90.00
_cell_angle_beta 90.00
_cell_angle_gamma 90.00
_space_group_name_H-M_alt 'P 1'
_space_group_IT_number 1
loop_
_space_group_symop_operation_xyz
'x,y,z'
loop_
_atom_site_label
_atom_site_type_symbol
_atom_site_fract_x
_atom_site_fract_y
_atom_site_fract_z
_atom_site_occupancy
P1 P 0.000 0.000 0.500 1
O1 O 0.000 0.500 0.000 1
O2 O 0.500 0.000 0.000 1
Ag1 Ag 0.500 0.500 0.500 1
Be1 Be 0.000 0.000 0.000 1
```

magnetization: 2.13 μB per formula unit
electronic total energy: -59.6 eV per cell
formation energy without anion corrections: -0.21 eV per atom
N(E_F): 0.5613 states/eV per atom

=====

(4)
Here is La2Al3Ge4 at its PBEsol-relaxed geometry from Alexandria via LeMat-Bulk. Energies are from SCAN.

Structure (CIF):
```
data_La2Al3Ge4
_chemical_formula_sum 'La4 Al6 Ge8'
_cell_length_a 6.085
_cell_length_b 7.937
_cell_length_c 8.117
_cell_angle_alpha 90.00
_cell_angle_beta 112.01
_cell_angle_gamma 90.00
_space_group_name_H-M_alt 'P 1'
_space_group_IT_number 1
loop_
_space_group_symop_operation_xyz
'x,y,z'
loop_
_atom_site_label
_atom_site_type_symbol
_atom_site_fract_x
_atom_site_fract_y
_atom_site_fract_z
_atom_site_occupancy
Ge1 Ge 0.701 0.750 0.902 1
Ge2 Ge 0.201 0.750 0.902 1
Ge3 Ge 0.299 0.250 0.098 1
Ge4 Ge 0.686 0.549 0.372 1
Ge5 Ge 0.799 0.250 0.098 1
Ge6 Ge 0.814 0.049 0.628 1
Ge7 Ge 0.186 0.951 0.372 1
Ge8 Ge 0.314 0.451 0.628 1
Al1 Al 0.034 0.750 0.567 1
Al2 Al 0.000 0.000 0.000 1
Al3 Al 0.534 0.750 0.567 1
Al4 Al 0.500 0.500 0.000 1
Al5 Al 0.966 0.250 0.433 1
Al6 Al 0.466 0.250 0.433 1
La1 La 0.114 0.583 0.227 1
La2 La 0.386 0.083 0.773 1
La3 La 0.614 0.917 0.227 1
La4 La 0.886 0.417 0.773 1
```

magnetization: 0.00 μB per formula unit
electronic total energy: -381.8 eV per cell
formation energy: -0.566 eV/atom
N(E_F): 0.2861 states/eV per atom

=====

(5)
Here is CaCdCu at its PBEsol-relaxed geometry from Alexandria via LeMat-Bulk. Energies are from SCAN.

Structure (CIF):
```
data_CaCdCu
_chemical_formula_sum 'Ca1 Cd1 Cu1'
_cell_length_a 3.701
_cell_length_b 4.545
_cell_length_c 4.545
_cell_angle_alpha 120.00
_cell_angle_beta 90.00
_cell_angle_gamma 90.00
_space_group_name_H-M_alt 'P 1'
_space_group_IT_number 1
loop_
_space_group_symop_operation_xyz
'x,y,z'
loop_
_atom_site_label
_atom_site_type_symbol
_atom_site_fract_x
_atom_site_fract_y
_atom_site_fract_z
_atom_site_occupancy
Ca1 Ca 0.500 0.000 0.000 1
Cu1 Cu 0.000 0.333 0.667 1
Cd1 Cd 0.000 0.667 0.333 1
```

magnetization: 0.00 μB per formula unit
electronic total energy: -55.8 eV per cell
formation energy: -0.186 eV/atom
N(E_F): 0.5417 states/eV per atom

=====

(6)
Here is Rb3ZnSe at its PBEsol-relaxed geometry from Alexandria via LeMat-Bulk. Energies are from SCAN.

Structure (CIF):
```
data_Rb3ZnSe
_chemical_formula_sum 'Rb3 Zn1 Se1'
_cell_length_a 6.528
_cell_length_b 6.528
_cell_length_c 6.528
_cell_angle_alpha 90.00
_cell_angle_beta 90.00
_cell_angle_gamma 90.00
_space_group_name_H-M_alt 'P 1'
_space_group_IT_number 1
loop_
_space_group_symop_operation_xyz
'x,y,z'
loop_
_atom_site_label
_atom_site_type_symbol
_atom_site_fract_x
_atom_site_fract_y
_atom_site_fract_z
_atom_site_occupancy
Zn1 Zn 0.500 0.500 0.500 1
Se1 Se 0.000 0.000 0.000 1
Rb1 Rb 0.000 0.500 0.000 1
Rb2 Rb 0.000 0.000 0.500 1
Rb3 Rb 0.500 0.000 0.000 1
```

magnetization: 0.01 μB per formula unit
electronic total energy: -98.0 eV per cell
formation energy without anion corrections: -0.44 eV per atom
N(E_F): 0.7687 states/eV per atom

=====

(7)
Here is Tl2RhPb at its PBEsol-relaxed geometry from Alexandria via LeMat-Bulk. Energies are from SCAN.

Structure (CIF):
```
data_Tl2RhPb
_chemical_formula_sum 'Tl2 Rh1 Pb1'
_cell_length_a 4.649
_cell_length_b 5.304
_cell_length_c 4.649
_cell_angle_alpha 115.99
_cell_angle_beta 90.00
_cell_angle_gamma 115.99
_space_group_name_H-M_alt 'P 1'
_space_group_IT_number 1
loop_
_space_group_symop_operation_xyz
'x,y,z'
loop_
_atom_site_label
_atom_site_type_symbol
_atom_site_fract_x
_atom_site_fract_y
_atom_site_fract_z
_atom_site_occupancy
Pb1 Pb 0.500 0.000 0.500 1
Rh1 Rh 0.250 0.500 0.750 1
Tl1 Tl 0.000 0.000 0.000 1
Tl2 Tl 0.750 0.500 0.250 1
```

magnetization: 0.00 μB per formula unit
offset from the most stable computed form: 6.56 kcal/mol of atoms
electronic total energy: -252.9 eV per cell
formation energy: 0.341 eV/atom
N(E_F): 0.5194 states/eV per atom

=====

(8)
Here is Li2MnOF3 at its PBEsol-relaxed geometry from Alexandria via LeMat-Bulk. Energies are from SCAN.

Structure (CIF):
```
data_Li2MnOF3
_chemical_formula_sum 'Li8 Mn4 O4 F12'
_cell_length_a 5.930
_cell_length_b 5.930
_cell_length_c 8.113
_cell_angle_alpha 90.00
_cell_angle_beta 90.00
_cell_angle_gamma 90.00
_space_group_name_H-M_alt 'P 1'
_space_group_IT_number 1
loop_
_space_group_symop_operation_xyz
'x,y,z'
loop_
_atom_site_label
_atom_site_type_symbol
_atom_site_fract_x
_atom_site_fract_y
_atom_site_fract_z
_atom_site_occupancy
Li1 Li 0.735 0.758 0.370 1
Li2 Li 0.758 0.265 0.120 1
Li3 Li 0.768 0.015 0.754 1
Li4 Li 0.985 0.768 0.004 1
Li5 Li 0.015 0.232 0.504 1
Li6 Li 0.232 0.985 0.254 1
Li7 Li 0.242 0.735 0.620 1
Li8 Li 0.265 0.242 0.870 1
Mn1 Mn 0.504 0.756 0.006 1
Mn2 Mn 0.496 0.244 0.506 1
Mn3 Mn 0.756 0.496 0.756 1
Mn4 Mn 0.244 0.504 0.256 1
O1 O 0.534 0.283 0.730 1
O2 O 0.717 0.534 0.980 1
O3 O 0.283 0.466 0.480 1
O4 O 0.466 0.717 0.230 1
F1 F 0.497 0.784 0.765 1
F2 F 0.784 0.503 0.515 1
F3 F 0.757 0.004 0.992 1
F4 F 0.739 0.025 0.507 1
F5 F 0.975 0.739 0.757 1
F6 F 0.004 0.243 0.742 1
F7 F 0.996 0.757 0.242 1
F8 F 0.025 0.261 0.257 1
F9 F 0.243 0.996 0.492 1
F10 F 0.261 0.975 0.007 1
F11 F 0.216 0.497 0.015 1
F12 F 0.503 0.216 0.265 1
```

magnetization: 4.00 μB per formula unit
offset from the most stable computed form: 0.00 kcal/mol of atoms
electronic total energy: -238.7 eV per cell
formation energy without anion corrections: -2.83 eV per atom
N(E_F): 0.0000 states/eV per atom

=====

> The highest electronic total energy belongs to which entry?

CaCdCu